[1]
Hf2CuTc | PBE | optimized geometry

```
Hf2CuTc
1.0
3.297 0.000 0.000
0.000 3.297 0.000
0.000 0.000 6.388
Hf Tc Cu
2 1 1
direct
0.000 0.000 0.244
0.000 0.000 0.756
0.500 0.500 0.000
0.500 0.500 0.500
```

## Properties
**Energy of formation**: -0.369 eV per atom

[2]
HfCuTc | PBE | optimized geometry

```
HfCuTc
1.0
3.368 0.000 0.000
0.000 4.251 0.000
-1.684 0.000 6.624
Tc Cu Hf
2 2 2
direct
0.589 0.250 0.178
0.411 0.750 0.822
0.755 0.750 0.510
0.245 0.250 0.490
0.910 0.250 0.820
0.090 0.750 0.180
```

## Properties
**Energy of formation**: -0.191 eV per atom

[3]
HfCu4Tc | PBE | optimized geometry

```
HfCu4Tc
1.0
4.874 0.000 0.000
2.437 4.221 0.000
2.437 1.407 3.979
Hf Cu Tc
1 4 1
direct
0.000 0.000 0.000
0.625 0.625 0.625
0.625 0.625 0.126
0.625 0.126 0.625
0.126 0.625 0.625
0.250 0.250 0.250
```

## Properties
**Energy of formation**: -0.015 eV per atom

[4]
HfCu2Tc | PBE | optimized geometry

```
HfCu2Tc
1.0
0.000 3.100 3.100
3.100 0.000 3.100
3.100 3.100 0.000
Cu Hf Tc
2 1 1
direct
0.750 0.750 0.750
0.250 0.250 0.250
0.500 0.500 0.500
0.000 0.000 0.000
```

## Properties
**Relative energy among the computed polymorphs**: 0.64 eV/f.u.
**Energy of formation**: 0.066 eV per atom

[5]
Hf2Cu2Tc | PBE | optimized geometry

```
Hf2Cu2Tc
1.0
-5.916 1.996 -2.695
-2.242 -6.418 0.167
-1.304 0.540 3.263
Hf Cu Tc
4 4 2
direct
0.186 0.686 0.500
0.814 0.314 0.500
0.314 0.186 0.500
0.686 0.814 0.500
0.120 0.380 0.000
0.620 0.120 0.000
0.880 0.620 0.000
0.380 0.880 0.000
0.500 0.500 0.000
0.000 0.000 0.000
```

## Properties
**Relative energy among the computed polymorphs**: 0.84 eV/f.u.
**Energy of formation**: -0.065 eV per atom

[6]
Hf2Cu2Tc | PBE | optimized geometry

```
Hf2Cu2Tc
1.0
-0.910 -3.038 -0.936
2.300 -1.355 2.164
-3.917 -0.795 6.393
Tc Hf Cu
1 2 2
direct
0.000 0.000 0.000
0.500 0.393 0.214
0.500 0.607 0.786
0.000 0.195 0.611
0.000 0.805 0.389
```

## Properties
**Relative energy among the computed polymorphs**: 0.00 eV/f.u.
**Energy of formation**: -0.233 eV per atom

[7]
Hf3CuTc | PBE | optimized geometry

```
Hf3CuTc
1.0
4.747 0.000 0.000
0.000 4.747 0.000
0.000 0.000 4.747
Tc Hf Cu
1 3 1
direct
0.500 0.500 0.500
0.000 0.500 0.000
0.000 0.000 0.500
0.500 0.000 0.000
0.000 0.000 0.000
```

## Properties
**Relative energy among the computed polymorphs**: 0.70 eV/f.u.
**Energy of formation**: 0.849 eV per atom

[8]
HfCu2Tc | PBE | optimized geometry

```
HfCu2Tc
1.0
3.688 0.000 0.000
0.000 3.688 0.000
1.844 1.844 9.575
Cu Tc Hf
4 2 2
direct
0.875 0.854 0.750
0.146 0.625 0.250
0.604 0.125 0.250
0.375 0.396 0.750
0.250 0.750 0.500
0.500 0.500 0.000
0.750 0.250 0.500
0.000 0.000 0.000
```

## Properties
**Relative energy among the computed polymorphs**: 1.87 eV/f.u.
**Energy of formation**: 0.373 eV per atom